Entry 1:
The following is a PBE calculation of TaNi after structural relaxation, from the Alexandria database.

Output
The total energy is -7.545 eV/atom.

a = 6.577 Å, b = 6.577 Å, c = 6.577 Å
α = 109.47°, β = 109.47°, γ = 109.47°
Fractional positions:
Ta 0.000 0.000 0.278
Ta 0.000 0.278 0.000
Ta 0.278 0.000 0.000
Ta 0.722 0.722 0.722
Ni 0.000 0.000 0.654
Ni 0.000 0.654 0.000
Ni 0.346 0.346 0.346
Ni 0.654 0.000 0.000

---

Entry 2:
The following is a PBE calculation of TaNi4 after structural relaxation, from the Alexandria database.

Output
The total energy is -6.152 eV/atom.

a = 4.721 Å, b = 4.721 Å, c = 4.721 Å
α = 109.47°, β = 109.47°, γ = 109.47°
Fractional positions:
Ta 0.000 0.000 0.000
Ni 0.000 0.000 0.500
Ni 0.000 0.500 0.000
Ni 0.500 0.000 0.000
Ni 0.500 0.500 0.500

---

Entry 3:
The following is a PBE calculation of TaNi2 after structural relaxation, from the Alexandria database.

Output
The total energy is -7.814 eV/atom.

a = 8.550 Å, b = 8.550 Å, c = 8.550 Å
α = 158.32°, β = 158.32°, γ = 30.85°
Fractional positions:
Ta 0.375 0.625 0.750
Ta 0.625 0.375 0.250
Ni 0.052 0.802 0.250
Ni 0.198 0.948 0.250
Ni 0.802 0.052 0.750
Ni 0.948 0.198 0.750

---

Number 1: D(E_F) 6.86 states/eV per cell. Number 2: D(E_F) 4.41 states/eV per cell. Number 3: D(E_F) 2.87 states/eV per cell.